Compound: CsAlCr2O8
Source: Alexandria via LeMat-Bulk
Functional: PBE with a Hubbard U
Structure: relaxed

Output
Mass density (Mg/m³): 3.18
Calculated total energy (hartree per atom): -0.245
N(E_F) (states/eV per cell): 0.00

Cell and atoms, written as CIF:
```
data_CsAlCr2O8
_chemical_formula_sum 'Cs1 Al1 Cr2 O8'
_cell_length_a 9.213
_cell_length_b 9.213
_cell_length_c 9.213
_cell_angle_alpha 32.82
_cell_angle_beta 32.82
_cell_angle_gamma 32.82
_space_group_name_H-M_alt 'P 1'
_space_group_IT_number 1
loop_
_space_group_symop_operation_xyz
'x,y,z'
loop_
_atom_site_label
_atom_site_fract_x
_atom_site_fract_y
_atom_site_fract_z
_atom_site_occupancy
Cs1 0.000 0.000 0.000 1
Al1 0.500 0.500 0.500 1
Cr1 0.229 0.229 0.229 1
Cr2 0.771 0.771 0.771 1
O1 0.129 0.707 0.536 1
O2 0.292 0.292 0.292 1
O3 0.293 0.464 0.871 1
O4 0.464 0.871 0.293 1
O5 0.536 0.129 0.707 1
O6 0.707 0.536 0.129 1
O7 0.708 0.708 0.708 1
O8 0.871 0.293 0.464 1
```